VASP calculation (PBE with a Hubbard U) on a relaxed CoPdNO2 crystal.

a b c (Å): 5.6229 5.6229 5.6229
angles (deg): 90.00 90.00 90.00
Space group P4/mmm (No. 123)
One atom of each set of equivalent atoms:
Co  0.0000  0.0000  0.0000 x1
Pd  0.5000  0.5000  0.5000 x1
N  0.5000  0.5000  0.0000 x1
O  0.0000  0.5000  0.5000 x2

The calculation puts the electronic total energy at -2.82 eV per atom. Its size of the total moment is 2.990 μB per formula unit.